PBE-GGA ReRuRh, optimized geometry; energy relative to the elements = -0.01 eV/atom; energy relative to the lowest polymorph listed for this composition = 0.34 eV/f.u.; total DFT energy (no corrections) = -0.71339 Ry per atom
1.0
-1.354 1.941 4.088
1.354 -1.941 4.088
1.354 1.941 -4.088
Re Ru Rh
1 1 1
Cartesian
0.000 0.000 0.000 Re
0.000 0.000 2.768 Ru
0.000 0.000 5.473 Rh


PBE-GGA Re4Ru2Rh3, optimized geometry; energy relative to the elements = -0.08 eV/atom; total DFT energy (no corrections) = -0.74447 Ry per atom
1.0
4.785 0.000 0.000
0.006 7.027 0.000
2.390 2.702 7.707
Re Ru Rh
8 4 6
Cartesian
0.791 3.881 1.723 Re
1.594 1.452 2.584 Re
3.183 4.452 7.652 Re
3.198 7.132 4.290 Re
3.984 2.598 3.417 Re
3.999 5.278 0.056 Re
5.587 8.277 5.123 Re
6.391 5.848 5.985 Re
1.608 6.343 0.848 Ru
3.186 5.003 2.570 Ru
3.995 4.726 5.137 Ru
5.573 3.386 6.859 Ru
1.601 3.650 4.288 Rh
3.186 2.289 6.007 Rh
3.978 6.876 6.846 Rh
3.203 2.853 0.862 Rh
3.996 7.440 1.700 Rh
5.580 6.079 3.420 Rh


PBE-GGA ReRu2Rh, optimized geometry; energy relative to the elements = 1.18 eV/atom; energy relative to the lowest polymorph listed for this composition = 5.04 eV/f.u.; total DFT energy (no corrections) = -0.61832 Ry per atom
1.0
-2.811 2.811 5.333
2.811 -2.811 5.333
2.811 2.811 -5.333
Re Ru Rh
2 4 2
Cartesian
0.000 0.000 0.000 Re
0.000 2.811 2.666 Re
4.217 1.398 -1.333 Ru
1.398 1.406 1.333 Ru
-1.406 1.414 3.999 Ru
1.414 1.406 6.666 Ru
2.811 0.000 2.666 Rh
0.000 0.000 5.333 Rh


PBE-GGA ReRuRh4, optimized geometry; energy relative to the elements = 0.48 eV/atom; energy relative to the lowest polymorph listed for this composition = 1.87 eV/f.u.; total DFT energy (no corrections) = -0.59124 Ry per atom
1.0
0.000 3.545 3.545
3.545 0.000 3.545
3.545 3.545 0.000
Re Ru Rh
1 1 4
Cartesian
0.000 0.000 0.000 Re
1.772 1.772 1.772 Ru
4.430 2.660 2.660 Rh
2.660 4.430 2.660 Rh
2.660 2.660 4.430 Rh
4.430 4.430 4.430 Rh